Entry 1:
Computed, not measured: a geometry-optimized TmInNO structure at the PBE level of DFT.

Results
Theoretical density ... 8.02 Mg/m³
VASP energy ... -25.9 eV per formula unit

a b c (Å): 6.9726 7.5909 4.9105
angles (deg): 90.00 90.00 90.00
Closest atoms and distances in Å follow each position.
Fractional positions:
Tm: 0.9090 0.8696 0.5334  1 O 2.14, 3 N 2.22-2.34
O: 0.5042 0.3960 0.5914  2 In 2.11-2.25, 1 Tm 2.14
N: 0.5914 0.8833 0.5572  3 Tm 2.22-2.34, 1 In 2.25
N: 0.9087 0.8833 0.0572  3 Tm 2.22-2.34, 1 In 2.25
In: 0.1068 0.6511 0.0204  2 O 2.11-2.25, 1 N 2.25
N: 0.0914 0.1167 0.5572  3 Tm 2.22-2.34, 1 In 2.25
Tm: 0.0910 0.1304 0.0334  1 O 2.14, 3 N 2.22-2.34
O: 0.4958 0.6040 0.0914  2 In 2.11-2.25, 1 Tm 2.14
O: 0.9958 0.3960 0.0914  2 In 2.11-2.25, 1 Tm 2.14
N: 0.4087 0.1167 0.0572  3 Tm 2.22-2.34, 1 In 2.25
O: 0.0042 0.6040 0.5914  2 In 2.11-2.25, 1 Tm 2.14
Tm: 0.4090 0.1304 0.5334  1 O 2.14, 3 N 2.22-2.34
In: 0.3932 0.6511 0.5204  2 O 2.11-2.25, 1 N 2.25
In: 0.6068 0.3489 0.0204  2 O 2.11-2.25, 1 N 2.25
In: 0.8932 0.3489 0.5204  2 O 2.11-2.25, 1 N 2.25
Tm: 0.5910 0.8696 0.0334  1 O 2.14, 3 N 2.22-2.34

***

Entry 2:
Computed, not measured: a geometry-optimized TmInNO structure at the PBE level of DFT.

Results
Theoretical density ... 9.26 Mg/m³
VASP energy ... -25.9 eV per formula unit

a b c (Å): 4.8841 4.8841 4.7149
angles (deg): 90.00 90.00 90.00
Closest atoms and distances in Å follow each position.
Fractional positions:
In: 0.2500 0.2500 0.9982  2 N 2.35-2.37, 4 O 2.44
O: 0.2500 0.7500 0.0000  2 Tm 2.36, 4 In 2.44
N: 0.2500 0.2500 0.4965  2 In 2.35-2.37, 4 Tm 2.44
N: 0.7500 0.7500 0.5035  2 In 2.35-2.37, 4 Tm 2.44
O: 0.7500 0.2500 0.0000  2 Tm 2.36, 4 In 2.44
Tm: 0.2500 0.7500 0.5000  2 O 2.36, 4 N 2.44
Tm: 0.7500 0.2500 0.5000  2 O 2.36, 4 N 2.44
In: 0.7500 0.7500 0.0018  2 N 2.35-2.37, 4 O 2.44

***

Entry 3:
Computed, not measured: a geometry-optimized TmInNO structure at the PBE level of DFT.

Results
Theoretical density ... 7.48 Mg/m³
VASP energy ... -25.8 eV per formula unit

a b c (Å): 3.7478 5.8777 6.3231
angles (deg): 90.00 90.00 90.00
Closest atoms and distances in Å follow each position.
Fractional positions:
N: 0.0000 0.8788 0.3287  2 In 2.21-2.22, 2 Tm 2.24
In: 0.0000 0.5020 0.3413  2 N 2.21-2.22, 2 O 2.34
O: 0.5000 0.3732 0.1558  2 Tm 2.19-2.20, 2 In 2.34
O: 0.5000 0.8732 0.8442  2 Tm 2.19, 2 In 2.34
Tm: 0.5000 0.5001 0.8304  2 O 2.19, 2 N 2.24
Tm: 0.5000 0.0000 0.1696  2 O 2.19-2.20, 2 N 2.24
In: 0.0000 0.0020 0.6587  2 N 2.21-2.22, 2 O 2.34
N: 0.0000 0.3788 0.6713  2 In 2.21-2.22, 2 Tm 2.24

***

Entry 4:
Computed, not measured: a geometry-optimized TmInNO structure at the PBE level of DFT.

Results
Theoretical density ... 7.57 Mg/m³
VASP energy ... -25.8 eV per formula unit

a b c (Å): 3.6429 5.9761 6.3213
angles (deg): 90.00 90.00 90.00
Closest atoms and distances in Å follow each position.
Fractional positions:
N: 0.0000 0.8701 0.3367  2 Tm 2.20, 2 In 2.21
In: 0.5000 0.4925 0.8249  2 N 2.21, 2 O 2.31-2.37
Tm: 0.0000 0.5015 0.3377  2 O 2.19, 2 N 2.20
O: 0.5000 0.3898 0.1776  2 Tm 2.19, 2 In 2.31-2.37
Tm: 0.0000 0.0015 0.6623  2 O 2.19, 2 N 2.20
In: 0.5000 0.9925 0.1751  2 N 2.21, 2 O 2.31-2.37
O: 0.5000 0.8898 0.8224  2 Tm 2.19, 2 In 2.31-2.37
N: 0.0000 0.3701 0.6633  2 Tm 2.20, 2 In 2.21

***

Entry 5:
Computed, not measured: a geometry-optimized TmInNO structure at the PBE level of DFT.

Results
Theoretical density ... 7.82 Mg/m³
VASP energy ... -26.5 eV per formula unit

a b c (Å): 5.7204 8.2244 5.6632
angles (deg): 90.00 90.00 90.00
Closest atoms and distances in Å follow each position.
Fractional positions:
In: 0.0533 0.1123 0.9480  3 N 2.18-2.25
Tm: 0.0023 0.6144 0.9768  1 N 2.20, 4 O 2.20-2.23
Tm: 0.4977 0.6144 0.4768  1 N 2.20, 4 O 2.20-2.23
Tm: 0.9977 0.3856 0.4768  1 N 2.20, 4 O 2.20-2.23
N: 0.9322 0.8717 0.0527  3 In 2.18-2.25, 1 Tm 2.20
N: 0.4322 0.1283 0.0527  3 In 2.18-2.25, 1 Tm 2.20
O: 0.7512 0.5003 0.7249  4 Tm 2.20-2.23
N: 0.0678 0.1283 0.5527  3 In 2.18-2.25, 1 Tm 2.20
N: 0.5678 0.8717 0.5527  3 In 2.18-2.25, 1 Tm 2.20
O: 0.7488 0.5003 0.2249  4 Tm 2.20-2.23
O: 0.2512 0.4997 0.7249  4 Tm 2.20-2.23
O: 0.2488 0.4997 0.2249  4 Tm 2.20-2.23
In: 0.5533 0.8877 0.9480  3 N 2.18-2.25
In: 0.9467 0.8877 0.4480  3 N 2.18-2.25
In: 0.4467 0.1123 0.4480  3 N 2.18-2.25
Tm: 0.5023 0.3856 0.9768  1 N 2.20, 4 O 2.20-2.23

***

Entry 6:
Computed, not measured: a geometry-optimized TmInNO structure at the PBE level of DFT.

Results
Theoretical density ... 8.38 Mg/m³
VASP energy ... -25.1 eV per formula unit

a b c (Å): 4.0029 4.0029 7.7587
angles (deg): 90.00 90.00 90.00
Closest atoms and distances in Å follow each position.
Fractional positions:
O: 0.7500 0.2500 0.0000  4 Tm 2.21
Tm: 0.2500 0.2500 0.1222  4 O 2.21
Tm: 0.7500 0.7500 0.8778  4 O 2.21
O: 0.2500 0.7500 0.0000  4 Tm 2.21
N: 0.7500 0.7500 0.3390  4 In 2.36
In: 0.2500 0.7500 0.5000  4 N 2.36
In: 0.7500 0.2500 0.5000  4 N 2.36
N: 0.2500 0.2500 0.6610  4 In 2.36

***

Entry 7:
Computed, not measured: a geometry-optimized ZnInNO structure at the PBE level of DFT.

Results
Theoretical density ... 6.79 Mg/m³
VASP energy ... -17.8 eV per formula unit

a b c (Å): 3.7687 3.7687 7.2369
angles (deg): 90.00 90.00 90.00
Closest atoms and distances in Å follow each position.
Fractional positions:
Zn: 0.7500 0.2500 0.5000  4 N 2.12
In: 0.7500 0.7500 0.8554  4 O 2.16
In: 0.2500 0.2500 0.1446  4 O 2.16
N: 0.2500 0.2500 0.6344  4 Zn 2.12
O: 0.2500 0.7500 0.0000  4 In 2.16
O: 0.7500 0.2500 0.0000  4 In 2.16
Zn: 0.2500 0.7500 0.5000  4 N 2.12
N: 0.7500 0.7500 0.3656  4 Zn 2.12

***

Entry 8:
Computed, not measured: a geometry-optimized ZnInNO structure at the PBE level of DFT.

Results
Theoretical density ... 6.25 Mg/m³
VASP energy ... -19.8 eV per formula unit

a b c (Å): 3.4719 5.5074 5.8441
angles (deg): 90.00 90.00 90.00
Closest atoms and distances in Å follow each position.
Fractional positions:
O: 0.5000 0.8870 0.8256  2 Zn 2.12, 2 In 2.15-2.16
Zn: 0.0000 0.5067 0.3487  2 N 1.98-1.99, 2 O 2.12
N: 0.0000 0.8655 0.3381  2 Zn 1.98-1.99, 2 In 2.09
In: 0.5000 0.4948 0.8201  2 N 2.09, 2 O 2.15-2.16
O: 0.5000 0.3870 0.1744  2 Zn 2.12, 2 In 2.15-2.16
N: 0.0000 0.3655 0.6619  2 Zn 1.98-1.99, 2 In 2.09
In: 0.5000 0.9948 0.1799  2 N 2.09, 2 O 2.15-2.16
Zn: 0.0000 0.0067 0.6513  2 N 1.98-1.99, 2 O 2.12

***

Entry 9:
Computed, not measured: a geometry-optimized ZnInNO structure at the PBE level of DFT.

Results
Theoretical density ... 7.42 Mg/m³
VASP energy ... -19.2 eV per formula unit

a b c (Å): 4.5708 4.5708 4.5038
angles (deg): 90.00 90.00 89.99
Closest atoms and distances in Å follow each position.
Fractional positions:
N: 0.2500 0.2500 0.4974  2 Zn 2.25-2.26, 4 In 2.29
Zn: 0.2500 0.2500 0.9988  2 N 2.25-2.26, 4 O 2.29
O: 0.2500 0.7500 0.0000  2 In 2.25, 4 Zn 2.29
N: 0.7500 0.7500 0.5026  2 Zn 2.25-2.26, 4 In 2.29
In: 0.7500 0.2500 0.5000  2 O 2.25, 4 N 2.29
In: 0.2500 0.7500 0.5000  2 O 2.25, 4 N 2.29
Zn: 0.7500 0.7500 0.0012  2 N 2.25-2.26, 4 O 2.29
O: 0.7500 0.2500 0.0000  2 In 2.25, 4 Zn 2.29

***

Entry 10:
Computed, not measured: a geometry-optimized ZnInNO structure at the PBE level of DFT.

Results
Theoretical density ... 5.61 Mg/m³
VASP energy ... -19.4 eV per formula unit

a b c (Å): 5.3326 5.3326 5.6586
angles (deg): 104.40 104.40 118.00
Closest atoms and distances in Å follow each position.
Fractional positions:
O: 0.7823 0.0862 0.2504  2 Zn 1.97-2.08, 2 In 2.20
In: 0.2192 0.2192 0.5625  2 N 2.07-2.12, 2 O 2.20
N: 0.3037 0.3037 0.9617  2 Zn 2.04, 2 In 2.07-2.12
O: 0.0862 0.7823 0.2504  2 Zn 1.97-2.08, 2 In 2.20
Zn: 0.7006 0.4094 0.2497  2 O 1.97-2.08, 2 N 2.04
Zn: 0.4094 0.7006 0.2497  2 O 1.97-2.08, 2 N 2.04
N: 0.5920 0.5920 0.5388  2 Zn 2.04, 2 In 2.07-2.12
In: 0.9066 0.9066 0.9369  2 N 2.07-2.12, 2 O 2.20

***

Entry 11:
Computed, not measured: a geometry-optimized ZnInNO structure at the PBE level of DFT.

Results
Theoretical density ... 6.30 Mg/m³
VASP energy ... -19.8 eV per formula unit

a b c (Å): 3.4466 5.4996 5.8508
angles (deg): 90.00 90.00 90.00
Closest atoms and distances in Å follow each position.
Fractional positions:
Zn: 0.5000 0.4900 0.8248  2 N 1.99, 2 O 2.06-2.09
In: 0.0000 0.0041 0.6645  2 N 2.13-2.14, 2 O 2.14
N: 0.0000 0.3903 0.6845  2 Zn 1.99, 2 In 2.13-2.14
In: 0.0000 0.5041 0.3355  2 N 2.13-2.14, 2 O 2.14
O: 0.5000 0.3696 0.1577  2 Zn 2.06-2.09, 2 In 2.14
N: 0.0000 0.8903 0.3155  2 Zn 1.99, 2 In 2.13-2.14
O: 0.5000 0.8696 0.8423  2 Zn 2.06-2.09, 2 In 2.14
Zn: 0.5000 0.9900 0.1752  2 N 1.99, 2 O 2.06-2.09

***

Entry 12:
Computed, not measured: a geometry-optimized ZnInNO structure at the PBE level of DFT.

Results
Theoretical density ... 6.27 Mg/m³
VASP energy ... -19.9 eV per formula unit

a b c (Å): 5.4992 5.9005 6.8618
angles (deg): 90.00 90.00 90.00
Closest atoms and distances in Å follow each position.
Fractional positions:
In: 0.5075 0.4185 0.8685  3 N 2.14-2.15, 1 O 2.15
N: 0.3968 0.5712 0.1383  1 Zn 1.98, 3 In 2.14-2.15
O: 0.3837 0.0907 0.3899  3 Zn 2.03-2.06, 1 In 2.15
In: 0.0075 0.0815 0.8685  3 N 2.14-2.15, 1 O 2.15
In: 0.0075 0.5815 0.1315  3 N 2.14-2.15, 1 O 2.15
N: 0.8968 0.4288 0.8617  1 Zn 1.98, 3 In 2.14-2.15
N: 0.3968 0.0712 0.8617  1 Zn 1.98, 3 In 2.14-2.15
Zn: 0.0096 0.0850 0.3769  1 N 1.98, 3 O 2.03-2.06
O: 0.8837 0.4093 0.3899  3 Zn 2.03-2.06, 1 In 2.15
In: 0.5075 0.9185 0.1315  3 N 2.14-2.15, 1 O 2.15
Zn: 0.0096 0.5850 0.6231  1 N 1.98, 3 O 2.03-2.06
Zn: 0.5096 0.4150 0.3769  1 N 1.98, 3 O 2.03-2.06
O: 0.3837 0.5907 0.6101  3 Zn 2.03-2.06, 1 In 2.15
O: 0.8837 0.9093 0.6101  3 Zn 2.03-2.06, 1 In 2.15
N: 0.8968 0.9288 0.1383  1 Zn 1.98, 3 In 2.14-2.15
Zn: 0.5096 0.9150 0.6231  1 N 1.98, 3 O 2.03-2.06

***

Entry 13:
Computed, not measured: a geometry-optimized ZnInNO structure at the PBE level of DFT.

Results
Theoretical density ... 7.63 Mg/m³
VASP energy ... -19.2 eV per formula unit

a b c (Å): 4.5355 4.5355 4.4485
angles (deg): 90.00 90.00 90.00
Closest atoms and distances in Å follow each position.
Fractional positions:
In: 0.5000 0.5000 0.5000  2 O 2.22, 4 N 2.27
N: 0.0000 0.5000 0.5011  2 Zn 2.22-2.23, 4 In 2.27
O: 0.0000 0.0000 0.0000  2 In 2.22, 4 Zn 2.27
In: 0.0000 0.0000 0.5000  2 O 2.22, 4 N 2.27
Zn: 0.5000 0.0000 0.9991  2 N 2.22-2.23, 4 O 2.27
Zn: 0.0000 0.5000 0.0009  2 N 2.22-2.23, 4 O 2.27
O: 0.5000 0.5000 0.0000  2 In 2.22, 4 Zn 2.27
N: 0.5000 0.0000 0.4989  2 Zn 2.22-2.23, 4 In 2.27

***

Entry 14:
Computed, not measured: a geometry-optimized InOs3N5 structure at the PBE level of DFT.

Results
Theoretical density ... 10.58 Mg/m³
VASP energy ... -65.8 eV per formula unit

a b c (Å): 5.1810 5.1810 5.1035
angles (deg): 90.00 90.00 120.00
Closest atoms and distances in Å follow each position.
Fractional positions:
In: 0.0000 0.0000 0.0000  2 N 2.55
Os: 0.5000 0.5000 0.5000  4 N 2.01
N: 0.3333 0.6667 0.2368  3 Os 2.01
N: 0.6667 0.3333 0.2368  3 Os 2.01
N: 0.3333 0.6667 0.7632  3 Os 2.01
Os: 0.5000 0.0000 0.5000  4 N 2.01
N: 0.0000 0.0000 0.5000  2 In 2.55, 6 Os 2.59
N: 0.6667 0.3333 0.7632  3 Os 2.01
Os: 0.0000 0.5000 0.5000  4 N 2.01

***

Entry 15:
Computed, not measured: a geometry-optimized Ta4InPN2 structure at the PBE level of DFT.

Results
Theoretical density ... 13.19 Mg/m³
VASP energy ... -76.9 eV per formula unit

a b c (Å): 3.0772 3.0772 13.7790
angles (deg): 90.00 90.00 120.00
Closest atoms and distances in Å follow each position.
Fractional positions:
P: 0.6667 0.3333 0.5000  6 Ta 2.51
N: 0.3333 0.6667 0.7284  6 Ta 2.21-2.25
Ta: 0.6667 0.3333 0.8243  3 N 2.21
Ta: 0.0000 0.0000 0.3714  3 N 2.25, 3 P 2.51
N: 0.3333 0.6667 0.2716  6 Ta 2.21-2.25
Ta: 0.6667 0.3333 0.1757  3 N 2.21
Ta: 0.0000 0.0000 0.6286  3 N 2.25, 3 P 2.51
In: 0.0000 0.0000 0.0000  6 Ta 3.00, 6 In 3.08

***

Entry 16:
Computed, not measured: a geometry-optimized Ta4InPN2 structure at the PBE level of DFT.

Results
Theoretical density ... 13.19 Mg/m³
VASP energy ... -76.9 eV per formula unit

a b c (Å): 3.0772 3.0772 13.7790
angles (deg): 90.00 90.00 120.00
Closest atoms and distances in Å follow each position.
Fractional positions:
P: 0.6667 0.3333 0.0000  6 Ta 2.51
Ta: 0.3333 0.6667 0.8714  3 N 2.25, 3 P 2.51
Ta: 0.6667 0.3333 0.6757  3 N 2.21
Ta: 0.6667 0.3333 0.3243  3 N 2.21
N: 0.0000 0.0000 0.2284  6 Ta 2.21-2.25
N: 0.0000 0.0000 0.7716  6 Ta 2.21-2.25
Ta: 0.3333 0.6667 0.1286  3 N 2.25, 3 P 2.51
In: 0.3333 0.6667 0.5000  6 Ta 3.00, 6 In 3.08

***

Entry 17:
Computed, not measured: a geometry-optimized Zr4InPN2 structure at the PBE level of DFT.

Results
Theoretical density ... 6.79 Mg/m³
VASP energy ... -69.1 eV per formula unit

a b c (Å): 3.3606 3.3606 13.4618
angles (deg): 90.00 90.00 120.00
Closest atoms and distances in Å follow each position.
Fractional positions:
N: 0.3333 0.6667 0.2702  6 Zr 2.28-2.34
Zr: 0.6667 0.3333 0.1818  3 N 2.28
N: 0.3333 0.6667 0.7298  6 Zr 2.28-2.34
Zr: 0.0000 0.0000 0.3668  3 N 2.34
P: 0.6667 0.3333 0.5000  6 Zr 2.64
Zr: 0.0000 0.0000 0.6332  3 N 2.34
Zr: 0.6667 0.3333 0.8182  3 N 2.28
In: 0.0000 0.0000 0.0000  6 Zr 3.12, 6 In 3.36

***

Entry 18:
Computed, not measured: a geometry-optimized Zr4InPN2 structure at the PBE level of DFT.

Results
Theoretical density ... 6.79 Mg/m³
VASP energy ... -69.1 eV per formula unit

a b c (Å): 3.3605 3.3605 13.4618
angles (deg): 90.00 90.00 120.00
Closest atoms and distances in Å follow each position.
Fractional positions:
N: 0.0000 0.0000 0.2298  6 Zr 2.28-2.34
Zr: 0.3333 0.6667 0.1332  3 N 2.34
Zr: 0.3333 0.6667 0.8668  3 N 2.34
P: 0.6667 0.3333 0.0000  6 Zr 2.64
In: 0.3333 0.6667 0.5000  6 Zr 3.12, 6 In 3.36
N: 0.0000 0.0000 0.7702  6 Zr 2.28-2.34
Zr: 0.6667 0.3333 0.6818  3 N 2.28
Zr: 0.6667 0.3333 0.3182  3 N 2.28

***

Entry 19:
Computed, not measured: a geometry-optimized Ta4InPbN2 structure at the PBE level of DFT.

Results
Theoretical density ... 13.96 Mg/m³
VASP energy ... -72.8 eV per formula unit

a b c (Å): 3.2478 3.2478 13.9835
angles (deg): 90.00 90.00 120.00
Closest atoms and distances in Å follow each position.
Fractional positions:
Ta: 0.0000 0.0000 0.3268  3 N 2.17
In: 0.0000 0.0000 0.0000  6 Ta 3.01, 6 In 3.25
Ta: 0.6667 0.3333 0.1684  3 N 2.19
Ta: 0.6667 0.3333 0.8316  3 N 2.19
Ta: 0.0000 0.0000 0.6732  3 N 2.17
Pb: 0.6667 0.3333 0.5000  6 Ta 3.06, 6 Pb 3.25
N: 0.3333 0.6667 0.2489  6 Ta 2.17-2.19
N: 0.3333 0.6667 0.7511  6 Ta 2.17-2.19

***

Entry 20:
Computed, not measured: a geometry-optimized InPbW4N2 structure at the PBE level of DFT.

Results
Theoretical density ... 15.25 Mg/m³
VASP energy ... -70.7 eV per formula unit

a b c (Å): 3.0208 3.0208 14.9509
angles (deg): 90.00 90.00 120.00
Closest atoms and distances in Å follow each position.
Fractional positions:
W: 0.6667 0.3333 0.8405  3 N 2.18
In: 0.0000 0.0000 0.0000  6 W 2.95, 6 In 3.02
W: 0.6667 0.3333 0.1595  3 N 2.18
W: 0.0000 0.0000 0.6687  3 N 2.15
W: 0.0000 0.0000 0.3313  3 N 2.15
Pb: 0.6667 0.3333 0.5000  6 Pb 3.02, 6 W 3.07
N: 0.3333 0.6667 0.7532  6 W 2.15-2.18
N: 0.3333 0.6667 0.2468  6 W 2.15-2.18